Entry one
Density functional theory data (PBE) for an optimized crystal structure of ZnTc3N.

Structure (CIF):
```
data_ZnTc3N
_symmetry_space_group_name_H-M 'P 1'
_symmetry_Int_Tables_number 1
_cell_length_a 3.2680
_cell_length_b 3.2680
_cell_length_c 15.6757
_cell_angle_alpha 90.00
_cell_angle_beta 90.00
_cell_angle_gamma 120.00
loop_
_symmetry_equiv_pos_as_xyz
'x,y,z'
loop_
_atom_site_label
_atom_site_type_symbol
_atom_site_fract_x
_atom_site_fract_y
_atom_site_fract_z
Tc1 Tc 0.0000 0.0000 0.7500
Zn1 Zn 0.0000 0.0000 0.5000
N1 N 0.6667 0.3333 0.2500
Tc2 Tc 0.3333 0.6667 0.8827
Tc3 Tc 0.3333 0.6667 0.6173
Tc4 Tc 0.6667 0.3333 0.3827
Zn2 Zn 0.0000 0.0000 0.0000
Tc5 Tc 0.6667 0.3333 0.1173
N2 N 0.3333 0.6667 0.7500
Tc6 Tc 0.0000 0.0000 0.2500
```

=====

Entry two
Density functional theory data (PBE) for an optimized crystal structure of ZnTc3N.

Structure (CIF):
```
data_ZnTc3N
_symmetry_space_group_name_H-M 'P 1'
_symmetry_Int_Tables_number 1
_cell_length_a 4.5750
_cell_length_b 5.2953
_cell_length_c 5.6390
_cell_angle_alpha 106.64
_cell_angle_beta 90.66
_cell_angle_gamma 81.30
loop_
_symmetry_equiv_pos_as_xyz
'x,y,z'
loop_
_atom_site_label
_atom_site_type_symbol
_atom_site_fract_x
_atom_site_fract_y
_atom_site_fract_z
Zn1 Zn 0.8472 0.1301 0.1293
Tc1 Tc 0.8193 0.1912 0.6546
Zn2 Zn 0.3014 0.3137 0.9401
N1 N 0.4973 0.9496 0.5963
Tc2 Tc 0.7629 0.6020 0.0140
Tc3 Tc 0.3106 0.2752 0.4346
Tc4 Tc 0.2503 0.7665 0.7813
Tc5 Tc 0.2485 0.7582 0.3025
Tc6 Tc 0.7791 0.5992 0.4919
N2 N 0.4542 0.9454 0.0983
```

=====

Which one is most stable, and which one is least stable? entry two is the most stable of them, while entry one is the least stable.

=====

Entry one
Density functional theory data (PBE) for an optimized crystal structure of CaMn2Os.

Structure (CIF):
```
data_CaMn2Os
_symmetry_space_group_name_H-M 'P 1'
_symmetry_Int_Tables_number 1
_cell_length_a 4.1837
_cell_length_b 4.1837
_cell_length_c 5.6762
_cell_angle_alpha 68.42
_cell_angle_beta 68.42
_cell_angle_gamma 59.99
loop_
_symmetry_equiv_pos_as_xyz
'x,y,z'
loop_
_atom_site_label
_atom_site_type_symbol
_atom_site_fract_x
_atom_site_fract_y
_atom_site_fract_z
Mn1 Mn 0.4492 0.4492 0.6524
Mn2 Mn 0.0508 0.0508 0.8476
Ca1 Ca 0.2500 0.2500 0.2500
Os1 Os 0.7500 0.7500 0.7500
```

=====

Entry two
Density functional theory data (PBE) for an optimized crystal structure of CaMn2Os.

Structure (CIF):
```
data_CaMn2Os
_symmetry_space_group_name_H-M 'P 1'
_symmetry_Int_Tables_number 1
_cell_length_a 9.3114
_cell_length_b 9.3114
_cell_length_c 9.3114
_cell_angle_alpha 17.65
_cell_angle_beta 17.65
_cell_angle_gamma 17.65
loop_
_symmetry_equiv_pos_as_xyz
'x,y,z'
loop_
_atom_site_label
_atom_site_type_symbol
_atom_site_fract_x
_atom_site_fract_y
_atom_site_fract_z
Mn1 Mn 0.2485 0.2485 0.2485
Mn2 Mn 0.9886 0.9886 0.9886
Ca1 Ca 0.7518 0.7518 0.7518
Os1 Os 0.5111 0.5111 0.5111
```

=====

Which one is most stable, and which one is least stable? entry one is the most stable of them, while entry two is the least stable.

=====

Entry one
Density functional theory data (PBE) for an optimized crystal structure of KTcPd.

Structure (CIF):
```
data_KTcPd
_symmetry_space_group_name_H-M 'P 1'
_symmetry_Int_Tables_number 1
_cell_length_a 4.2307
_cell_length_b 11.6258
_cell_length_c 4.2309
_cell_angle_alpha 79.30
_cell_angle_beta 120.00
_cell_angle_gamma 100.32
loop_
_symmetry_equiv_pos_as_xyz
'x,y,z'
loop_
_atom_site_label
_atom_site_type_symbol
_atom_site_fract_x
_atom_site_fract_y
_atom_site_fract_z
K1 K 0.4342 0.6605 0.1558
Pd1 Pd 0.9040 0.0925 0.6707
Tc1 Tc 0.1986 0.9701 0.3805
K2 K 0.6295 0.2799 0.9382
Tc2 Tc 0.5320 0.9701 0.0471
Pd2 Pd 0.8265 0.8477 0.7569
```

=====

Entry two
Density functional theory data (PBE) for an optimized crystal structure of KTcPd.

Structure (CIF):
```
data_KTcPd
_symmetry_space_group_name_H-M 'P 1'
_symmetry_Int_Tables_number 1
_cell_length_a 5.1129
_cell_length_b 5.1129
_cell_length_c 5.6996
_cell_angle_alpha 90.00
_cell_angle_beta 90.00
_cell_angle_gamma 120.00
loop_
_symmetry_equiv_pos_as_xyz
'x,y,z'
loop_
_atom_site_label
_atom_site_type_symbol
_atom_site_fract_x
_atom_site_fract_y
_atom_site_fract_z
K1 K 0.0000 0.0000 0.5000
Pd1 Pd 0.3333 0.6667 0.2500
Pd2 Pd 0.6667 0.3333 0.7500
K2 K 0.0000 0.0000 0.0000
Tc1 Tc 0.3333 0.6667 0.7500
Tc2 Tc 0.6667 0.3333 0.2500
```

=====

Which one is most stable, and which one is least stable? entry one is the most stable of them, while entry two is the least stable.